Entry 1:
A plane-wave DFT calculation with PBE was carried out for a geometry-optimized Nb2NiB2 structure.

```
data_Nb2NiB2
_chemical_formula_sum 'Nb4 Ni2 B4'
_cell_length_a 3.0711
_cell_length_b 11.2477
_cell_length_c 3.3221
_cell_angle_alpha 90.00
_cell_angle_beta 90.00
_cell_angle_gamma 90.00
_symmetry_space_group_name_H-M 'C m m m'
_symmetry_Int_Tables_number 65
_symmetry_space_group_name_Hall '-C 2 2'
loop_
_atom_site_label
_atom_site_fract_x
_atom_site_fract_y
_atom_site_fract_z
Nb1 0.0000 0.1352 0.0000
Ni1 0.0000 0.5000 0.5000
B1 0.0000 0.2914 0.5000
```

- Total energy: -8.41 eV/atom

Entry 2:
A plane-wave DFT calculation with PBE was carried out for a geometry-optimized NbNi2B structure.

```
data_NbNi2B
_chemical_formula_sum 'Nb4 Ni8 B4'
_cell_length_a 5.6757
_cell_length_b 5.6757
_cell_length_c 5.6757
_cell_angle_alpha 90.00
_cell_angle_beta 90.00
_cell_angle_gamma 90.00
_symmetry_space_group_name_H-M 'F -4 3 m'
_symmetry_Int_Tables_number 216
_symmetry_space_group_name_Hall 'F -4 2 3'
loop_
_atom_site_label
_atom_site_fract_x
_atom_site_fract_y
_atom_site_fract_z
Nb1 0.0000 0.0000 0.0000
Ni1 0.0000 0.0000 0.5000
Ni2 0.2500 0.2500 0.7500
B1 0.2500 0.2500 0.2500
```

- Total energy: -6.97 eV/atom

Entry 3:
A plane-wave DFT calculation with PBE was carried out for a geometry-optimized NbNi2B4 structure.

```
data_NbNi2B4
_chemical_formula_sum 'Nb2 Ni4 B8'
_cell_length_a 3.0509
_cell_length_b 3.2043
_cell_length_c 12.5604
_cell_angle_alpha 90.00
_cell_angle_beta 90.00
_cell_angle_gamma 90.00
_symmetry_space_group_name_H-M 'I m m m'
_symmetry_Int_Tables_number 71
_symmetry_space_group_name_Hall '-I 2 2'
loop_
_atom_site_label
_atom_site_fract_x
_atom_site_fract_y
_atom_site_fract_z
Nb1 0.0000 0.0000 0.0000
Ni1 0.0000 0.5000 0.3113
B1 0.0000 0.0000 0.4258
B2 0.0000 0.5000 0.1457
```

- Total energy: -7.28 eV/atom

Entry 4:
A plane-wave DFT calculation with PBE was carried out for a geometry-optimized NbNiBOs structure.

```
data_NbNiBOs
_chemical_formula_sum 'Nb4 Ni4 B4 Os4'
_cell_length_a 5.8102
_cell_length_b 5.8102
_cell_length_c 5.8102
_cell_angle_alpha 90.00
_cell_angle_beta 90.00
_cell_angle_gamma 90.00
_symmetry_space_group_name_H-M 'F -4 3 m'
_symmetry_Int_Tables_number 216
_symmetry_space_group_name_Hall 'F -4 2 3'
loop_
_atom_site_label
_atom_site_fract_x
_atom_site_fract_y
_atom_site_fract_z
Nb1 0.0000 0.0000 0.0000
Ni1 0.2500 0.2500 0.2500
B1 0.2500 0.2500 0.7500
Os1 0.0000 0.0000 0.5000
```

- Total energy: -8.25 eV/atom